# PdCl2

An optimized crystal structure of PdCl2 (PBEsol, the Alexandria database).

Summary:
Its uncorrected formation energy is -135 kJ/mol of formula units.

Unit cell a=5.833 b=7.865 c=6.183 alpha=90.00 beta=104.15 gamma=90.00
Fractional coordinates of all 12 atoms:
Pd1 0.234 0.129 0.004
Pd2 0.234 0.371 0.504
Pd3 0.766 0.629 0.496
Pd4 0.766 0.871 0.996
Cl1 0.008 0.566 0.263
Cl2 0.008 0.934 0.763
Cl3 0.457 0.184 0.754
Cl4 0.457 0.316 0.254
Cl5 0.543 0.684 0.746
Cl6 0.543 0.816 0.246
Cl7 0.992 0.066 0.237
Cl8 0.992 0.434 0.737